(1)
First-principles (PBE) data for an optimized crystal structure of Pr4IrSeS2, as listed in Alexandria.

a = 5.9269 Å, b = 5.9269 Å, c = 11.8521 Å
α = 90.00°, β = 90.00°, γ = 90.00°
Space group I-4m2 (No. 119)
Asymmetric unit:
Pr 0.0000 0.0000 0.2448 x4
Pr 0.0000 0.5000 0.0046 x4
Ir 0.0000 0.5000 0.2500 x2
Se 0.0000 0.0000 0.5000 x2
S 0.0000 0.0000 0.0000 x2
S 0.0000 0.5000 0.7500 x2

formation energy without anion corrections = -1.560 eV per atom
calculated volume = 416 Å³/cell
DFT total energy = -104.4 eV/cell
size of the total moment = 0.000 μB per atom

(2)
First-principles (PBE) data for an optimized crystal structure of ZnGaCuRe2, as listed in Alexandria.

a = 4.6033 Å, b = 4.6033 Å, c = 4.2696 Å
α = 90.00°, β = 90.00°, γ = 90.00°
Space group P4/mmm (No. 123)
Asymmetric unit:
Zn 0.0000 0.0000 0.0000 x1
Ga 0.5000 0.5000 0.0000 x1
Cu 0.5000 0.5000 0.5000 x1
Re 0.0000 0.5000 0.5000 x2

calculated volume = 90 Å³/cell
DFT total energy = -25.3 eV/cell
energy of formation = 1609 meV per atom
size of the total moment = 0.659 μB per atom

(3)
First-principles (PBE) data for an optimized crystal structure of Li2SnPd6, as listed in Alexandria.

a = 4.4420 Å, b = 4.4420 Å, c = 8.0600 Å
α = 90.00°, β = 90.00°, γ = 120.00°
Space group P-3m1 (No. 164)
Asymmetric unit:
Li 0.3333 0.6667 0.2312 x2
Sn 0.0000 0.0000 0.0000 x1
Pd 0.0000 0.0000 0.3280 x2
Pd 0.3333 0.6667 0.5408 x2
Pd 0.3333 0.6667 0.8887 x2

energy above the lowest structure with this stoichiometry = 0.0 kJ per mole of atoms
calculated volume = 138 Å³/cell
DFT total energy = -42.7 eV/cell
energy of formation = -411 meV per atom
size of the total moment = 0.000 μB per atom

- What is the calculated volume in the first record?
  416 Å³/cell

- Which of these has the lowest calculated volume?
  ZnGaCuRe2